{"formula": "K2YPCO7", "functional": "GGA-PBEsol", "state": "optimized geometry", "density_g_cm3": 2.69, "final_energy_ev_per_atom": -7.506, "sg": "P2_1/m, No. 11", "e_form_raw_ev_per_fu": -28.804, "cell": [[-2.520, -4.764, 1.737], [6.026, -3.546, -0.982], [2.729, 2.048, 9.349]], "species": ["O", "O", "O", "O", "O", "C", "O", "O", "O", "Y", "Y", "O", "K", "K", "O", "K", "O", "C", "O", "P", "O", "P", "K", "O"], "fractional_positions": [[0.796, 0.569, 0.360], [0.565, 0.250, 0.191], [0.204, 0.431, 0.640], [0.563, 0.250, 0.558], [0.437, 0.750, 0.442], [0.258, 0.750, 0.895], [0.435, 0.750, 0.809], [0.204, 0.069, 0.640], [0.708, 0.250, 0.980], [0.795, 0.250, 0.377], [0.205, 0.750, 0.623], [0.182, 0.250, 0.421], [0.256, 0.517, 0.216], [0.744, 0.483, 0.784], [0.818, 0.750, 0.579], [0.256, 0.983, 0.216], [0.951, 0.250, 0.162], [0.742, 0.250, 0.105], [0.292, 0.750, 0.020], [0.288, 0.250, 0.567], [0.049, 0.750, 0.838], [0.712, 0.750, 0.433], [0.744, 0.017, 0.784], [0.796, 0.931, 0.360]]}

=====

{"formula": "KSmC2O6", "functional": "GGA-PBEsol", "state": "optimized geometry", "density_g_cm3": 3.82, "final_energy_ev_per_atom": -7.864, "sg": "C2/c, No. 15", "e_form_raw_ev_per_fu": -21.633, "cell": [[6.441, -0.114, 0.028], [-0.833, 6.388, 0.028], [-1.628, -1.821, 6.539]], "species": ["O", "O", "Sm", "K", "O", "O", "K", "O", "C", "O", "O", "O", "Sm", "O", "C", "O", "O", "O", "C", "C"], "fractional_positions": [[0.706, 0.748, 0.117], [0.748, 0.706, 0.617], [0.095, 0.905, 0.250], [0.374, 0.626, 0.750], [0.294, 0.252, 0.883], [0.252, 0.294, 0.383], [0.626, 0.374, 0.250], [0.095, 0.555, 0.284], [0.109, 0.356, 0.259], [0.555, 0.095, 0.784], [0.905, 0.445, 0.716], [0.203, 0.971, 0.609], [0.905, 0.095, 0.750], [0.797, 0.029, 0.391], [0.891, 0.644, 0.741], [0.029, 0.797, 0.891], [0.445, 0.905, 0.216], [0.971, 0.203, 0.109], [0.356, 0.109, 0.759], [0.644, 0.891, 0.241]]}

=====

{"formula": "KTmC2O6", "functional": "GGA-PBEsol", "state": "optimized geometry", "density_g_cm3": 4.34, "final_energy_ev_per_atom": -7.874, "sg": "C2/c, No. 15", "e_form_raw_ev_per_fu": -21.927, "cell": [[6.270, -0.090, 0.046], [-0.759, 6.224, 0.046], [-1.570, -1.748, 6.416]], "species": ["C", "O", "K", "O", "O", "O", "O", "O", "Tm", "Tm", "O", "O", "O", "K", "O", "C", "O", "O", "C", "C"], "fractional_positions": [[0.643, 0.899, 0.251], [0.912, 0.439, 0.734], [0.620, 0.380, 0.250], [0.242, 0.291, 0.380], [0.561, 0.088, 0.766], [0.758, 0.709, 0.620], [0.038, 0.802, 0.901], [0.088, 0.561, 0.266], [0.090, 0.910, 0.250], [0.910, 0.090, 0.750], [0.198, 0.962, 0.599], [0.439, 0.912, 0.234], [0.962, 0.198, 0.099], [0.380, 0.620, 0.750], [0.709, 0.758, 0.120], [0.357, 0.101, 0.749], [0.291, 0.242, 0.880], [0.802, 0.038, 0.401], [0.899, 0.643, 0.751], [0.101, 0.357, 0.249]]}

=====

{"formula": "K4UC3O11", "functional": "GGA-PBEsol", "state": "optimized geometry", "density_g_cm3": 3.52, "final_energy_ev_per_atom": -7.504, "sg": "C2/c, No. 15", "e_form_raw_ev_per_fu": -39.202, "cell": [[-4.919, -4.574, 1.491], [-1.123, -2.044, -6.474], [7.830, -9.334, 0.766]], "species": ["O", "C", "O", "K", "O", "O", "K", "O", "O", "U", "O", "O", "O", "K", "K", "O", "O", "O", "U", "O", "K", "C", "O", "C", "K", "O", "O", "C", "O", "K", "C", "O", "K", "O", "O", "O", "C", "O"], "fractional_positions": [[0.959, 0.917, 0.161], [0.920, 0.834, 0.584], [0.917, 0.959, 0.661], [0.425, 0.787, 0.457], [0.713, 0.082, 0.078], [0.632, 0.037, 0.320], [0.665, 0.967, 0.842], [0.649, 0.351, 0.750], [0.828, 0.780, 0.024], [0.201, 0.799, 0.750], [0.083, 0.041, 0.339], [0.351, 0.649, 0.250], [0.172, 0.220, 0.976], [0.787, 0.425, 0.957], [0.335, 0.033, 0.158], [0.082, 0.713, 0.578], [0.525, 0.391, 0.170], [0.287, 0.918, 0.922], [0.799, 0.201, 0.250], [0.037, 0.632, 0.820], [0.967, 0.665, 0.342], [0.166, 0.080, 0.916], [0.963, 0.368, 0.180], [0.511, 0.489, 0.750], [0.213, 0.575, 0.043], [0.041, 0.083, 0.839], [0.220, 0.172, 0.476], [0.080, 0.166, 0.416], [0.475, 0.609, 0.830], [0.575, 0.213, 0.543], [0.489, 0.511, 0.250], [0.780, 0.828, 0.524], [0.033, 0.335, 0.658], [0.391, 0.525, 0.670], [0.918, 0.287, 0.422], [0.368, 0.963, 0.680], [0.834, 0.920, 0.084], [0.609, 0.475, 0.330]]}

=====

{"formula": "KOs2PtC", "functional": "GGA-PBEsol", "state": "optimized geometry", "density_g_cm3": 12.93, "final_energy_ev_per_atom": -4.280, "ef_mev_per_atom": 4155, "sg": "P4/mmm, No. 123", "cell": [[-0.290, -3.066, -2.454], [3.625, -1.889, 1.932], [-2.681, -2.117, 2.961]], "species": ["Os", "Pt", "C", "Os", "K"], "fractional_positions": [[0.000, 0.500, 0.000], [0.500, 0.500, 0.500], [0.500, 0.000, 0.000], [0.000, 0.000, 0.500], [0.000, 0.000, 0.000]]}

=====

{"formula": "KSnOs2C", "functional": "GGA-PBEsol", "state": "optimized geometry", "density_g_cm3": 10.19, "final_energy_ev_per_atom": -4.124, "ef_mev_per_atom": 3770, "sg": "P4/mmm, No. 123", "cell": [[4.053, 0.000, 0.000], [0.000, 4.704, 0.000], [0.000, 0.000, 4.704]], "species": ["Os", "C", "Os", "Sn", "K"], "fractional_positions": [[0.000, 0.000, 0.500], [0.500, 0.000, 0.000], [0.000, 0.500, 0.000], [0.500, 0.500, 0.500], [0.000, 0.000, 0.000]]}

=====

Copy entry 5 word for word.
{"formula": "KOs2PtC", "functional": "GGA-PBEsol", "state": "optimized geometry", "density_g_cm3": 12.93, "final_energy_ev_per_atom": -4.280, "ef_mev_per_atom": 4155, "sg": "P4/mmm, No. 123", "cell": [[-0.290, -3.066, -2.454], [3.625, -1.889, 1.932], [-2.681, -2.117, 2.961]], "species": ["Os", "Pt", "C", "Os", "K"], "fractional_positions": [[0.000, 0.500, 0.000], [0.500, 0.500, 0.500], [0.500, 0.000, 0.000], [0.000, 0.000, 0.500], [0.000, 0.000, 0.000]]}